DFT (GGA-PBE) results for a relaxed structure of La2Mo2N5.

Cell: 4.0101 6.1156 6.0676 Å, 105.97 90.00 109.14°
Element x y z (fractional)
N  0.8468  0.6937  0.4359
La  0.3917  0.7834  0.6901
Mo  0.1432  0.2864  0.8636
N  0.1532  0.3063  0.5641
N  0.0000  0.0000  0.0000
La  0.6083  0.2166  0.3099
Mo  0.8568  0.7136  0.1364
N  0.6763  0.3526  0.9596
N  0.3237  0.6474  0.0404

formation energy from raw total energies: -0.822 eV per atom
E: -80.54 eV/cell
excess energy over the best structure of this formula in the dataset: 150 meV/atom
SG: C2/m, No. 12

***

DFT (GGA-PBE) results for a relaxed structure of LaMoN2.

Cell: 3.3688 5.9814 10.9545 Å, 90.00 90.00 90.00°
Element x y z (fractional)
N  0.2500  0.3401  0.2416
N  0.2500  0.2661  0.9849
N  0.7500  0.6599  0.7584
N  0.7500  0.7339  0.0151
Mo  0.7500  0.9432  0.5916
La  0.2500  0.9247  0.8560
La  0.2500  0.4247  0.6440
N  0.7500  0.2339  0.4849
Mo  0.7500  0.4432  0.9084
N  0.7500  0.1599  0.7416
Mo  0.2500  0.5568  0.0916
N  0.2500  0.7661  0.5151
La  0.7500  0.0753  0.1440
N  0.2500  0.8401  0.2584
La  0.7500  0.5753  0.3560
Mo  0.2500  0.0568  0.4084

formation energy from raw total energies: -0.951 eV per atom
E: -144.86 eV/cell
excess energy over the best structure of this formula in the dataset: 51 meV/atom
SG: Pnma, No. 62